No. 1
# SrSc PBE-GGA relaxed
# Crystal system: hexagonal
# Size of the total moment in Bohr magnetons per cell: 3.85
# Excess energy over the best structure of this formula in the dataset in meV per atom: 344
# Formation energy in eV per atom: 0.538
# Total energy in Ry per atom: -0.255
data_SrSc
_chemical_formula_sum 'Sr6 Sc6'
_space_group_name_H-M_alt 'P 63/m'
_space_group_IT_number 176
_space_group_name_Hall '-P 6c'
_cell_length_a 12.2598
_cell_length_b 12.2598
_cell_length_c 3.5009
_cell_angle_alpha 90.00
_cell_angle_beta 90.00
_cell_angle_gamma 120.00
loop_
_atom_site_label
_atom_site_type_symbol
_atom_site_fract_x
_atom_site_fract_y
_atom_site_fract_z
Sr1 Sr 0.0615 0.3086 0.2500
Sc1 Sc 0.1524 0.6116 0.2500



No. 2
# Ho4Te3 PBE-GGA relaxed
# Crystal system: cubic
# Size of the total moment in Bohr magnetons per cell: 0.00
# Formation energy (no corrections) in eV per atom: -1.04
# Total energy in Ry per atom: -0.367
data_Ho4Te3
_chemical_formula_sum 'Ho16 Te12'
_space_group_name_H-M_alt 'I -4 3 d'
_space_group_IT_number 220
_space_group_name_Hall 'I -4bd 2c 3'
_cell_length_a 9.077
_cell_length_b 9.077
_cell_length_c 9.077
_cell_angle_alpha 90.00
_cell_angle_beta 90.00
_cell_angle_gamma 90.00
loop_
_atom_site_label
_atom_site_type_symbol
_atom_site_fract_x
_atom_site_fract_y
_atom_site_fract_z
Ho1 Ho 0.073 0.073 0.073
Te1 Te 0.000 0.250 0.375



No. 3
# NaTb2Y PBE-GGA relaxed
# Crystal system: trigonal
# Size of the total moment in Bohr magnetons per cell: 0.00
# Excess energy over the best structure of this formula in the dataset in meV per atom: 25
# Formation energy in eV per atom: 0.158
# Total energy in Ry per atom: -0.302
data_NaTb2Y
_chemical_formula_sum 'Na3 Tb6 Y3'
_space_group_name_H-M_alt 'R -3 m'
_space_group_IT_number 166
_space_group_name_Hall '-R 3 2"'
_cell_length_a 3.5169
_cell_length_b 3.5169
_cell_length_c 38.1309
_cell_angle_alpha 90.00
_cell_angle_beta 90.00
_cell_angle_gamma 120.00
loop_
_atom_site_label
_atom_site_type_symbol
_atom_site_fract_x
_atom_site_fract_y
_atom_site_fract_z
Na1 Na 0.0000 0.0000 0.0000
Tb1 Tb 0.0000 0.0000 0.0920
Y1 Y 0.0000 0.0000 0.5000